A plane-wave DFT calculation with PBE-GGA was carried out for a relaxed Lu5FeTe3 crystal.

```
9
Lattice="-6.5973 4.8503 -0.3092 1.1063 -5.7805 -5.7015 -1.9941 -2.5709 2.2196" Properties=species:S:1:pos:R:3 pbc="T T T"
Te -2.6841 -0.0451 1.0307
Te -5.0840 -1.9778 -3.3639
Te -0.7142 -2.7636 -0.3482
Lu -1.8356 -0.3110 -2.0093
Lu -4.3920 3.2289 -0.2058
Lu -2.4586 -3.5224 -2.7943
Lu -5.0265 0.0212 -0.9968
Lu 0.7365 -3.8482 -3.7956
Fe 0.0000 0.0000 0.0000
```

## Properties
Total magnetic moment, Bohr magnetons per cell: 1.4
Raw total energy, eV/atom: -4.85

A plane-wave DFT calculation with PBE-GGA was carried out for a relaxed TlFeCoNi crystal.

```
4
Lattice="0.6307 -2.6819 3.2845 -3.3437 -1.4423 2.2622 -1.1968 -4.1038 -0.3233" Properties=species:S:1:pos:R:3 pbc="T T T"
Tl 0.0000 0.0000 0.0000
Fe -1.9549 -4.1140 2.6117
Ni -0.9774 -2.0570 1.3058
Co -2.9323 -6.1710 3.9175
```

## Properties
Total magnetic moment, Bohr magnetons per cell: 4.7
Energy above the most stable polymorph in this dataset, meV per atom: 0

Please write out number 2 again, unchanged.
A plane-wave DFT calculation with PBE-GGA was carried out for a relaxed TlFeCoNi crystal.

```
4
Lattice="0.6307 -2.6819 3.2845 -3.3437 -1.4423 2.2622 -1.1968 -4.1038 -0.3233" Properties=species:S:1:pos:R:3 pbc="T T T"
Tl 0.0000 0.0000 0.0000
Fe -1.9549 -4.1140 2.6117
Ni -0.9774 -2.0570 1.3058
Co -2.9323 -6.1710 3.9175
```

## Properties
Total magnetic moment, Bohr magnetons per cell: 4.7
Energy above the most stable polymorph in this dataset, meV per atom: 0

Question: What is the formula in the first record?
Answer: Lu5FeTe3

Question: Among the records above, which one has the highest total magnetic moment?
Answer: TlFeCoNi